(1)
The following is a DFT calculation (PBE-GGA) of a geometry-optimized Ca4AgN structure.

The structure in CIF format:
```
data_Ca4AgN
_cell_length_a 14.789
_cell_length_b 6.320
_cell_length_c 7.101
_cell_angle_alpha 90.00
_cell_angle_beta 106.71
_cell_angle_gamma 90.00
_symmetry_space_group_name_H-M 'C 1 2/c 1'
_symmetry_Int_Tables_number 15
loop_
_symmetry_equiv_pos_as_xyz
'x,y,z'
'-x,-y,-z'
'-x,y,-z+1/2'
'x,-y,z+1/2'
'x+1/2,y+1/2,z'
'-x+1/2,-y+1/2,-z'
'-x+1/2,y+1/2,-z+1/2'
'x+1/2,-y+1/2,z+1/2'
loop_
_atom_site_label
_atom_site_fract_x
_atom_site_fract_y
_atom_site_fract_z
Ca1 0.101 0.109 0.451
Ca2 0.189 0.450 0.169
Ag1 0.000 0.337 0.750
N1 0.250 0.250 0.500
```

Summary:
For the final energy, the calculation gives -0.1317 hartree per atom. Its energy above the lowest structure with this stoichiometry is 57.5 meV per atom. The calculation puts the density of states at the Fermi level at 3.43 states/eV/f.u.

(2)
The following is a DFT calculation (PBE-GGA) of a geometry-optimized CaAgN2 structure.

The structure in CIF format:
```
data_CaAgN2
_cell_length_a 3.5140
_cell_length_b 3.5140
_cell_length_c 18.7898
_cell_angle_alpha 90.00
_cell_angle_beta 90.00
_cell_angle_gamma 120.00
_symmetry_space_group_name_H-M 'R -3 m'
_symmetry_Int_Tables_number 166
_symmetry_space_group_name_Hall '-R 3 2"'
loop_
_atom_site_label
_atom_site_fract_x
_atom_site_fract_y
_atom_site_fract_z
Ca1 0.0000 0.0000 0.0000
Ag1 0.0000 0.0000 0.5000
N1 0.0000 0.0000 0.1194
```

Summary:
For the final energy, the calculation gives -0.1523 hartree per atom. Its energy above the lowest structure with this stoichiometry is 476.4 meV per atom. The calculation puts the density of states at the Fermi level at 2.34 states/eV/f.u.

(3)
The following is a DFT calculation (PBE-GGA) of a geometry-optimized CaAgN2 structure.

The structure in CIF format:
```
data_CaAgN2
_cell_length_a 5.954
_cell_length_b 5.954
_cell_length_c 5.954
_cell_angle_alpha 90.00
_cell_angle_beta 90.00
_cell_angle_gamma 90.00
_symmetry_space_group_name_H-M 'F m -3 m'
_symmetry_Int_Tables_number 225
_symmetry_space_group_name_Hall '-F 4 2 3'
loop_
_atom_site_label
_atom_site_fract_x
_atom_site_fract_y
_atom_site_fract_z
Ca1 0.000 0.000 0.000
Ag1 0.000 0.000 0.500
N1 0.250 0.250 0.250
```

Summary:
For the final energy, the calculation gives -0.1676 hartree per atom. Its energy above the lowest structure with this stoichiometry is 60.1 meV per atom. The calculation puts the density of states at the Fermi level at 3.08 states/eV/f.u.

(4)
The following is a DFT calculation (PBE-GGA) of a geometry-optimized Ca6Ag2N structure.

The structure in CIF format:
```
data_Ca6Ag2N
_cell_length_a 6.960
_cell_length_b 7.504
_cell_length_c 11.970
_cell_angle_alpha 90.00
_cell_angle_beta 124.46
_cell_angle_gamma 90.00
_symmetry_space_group_name_H-M 'P 1 21/c 1'
_symmetry_Int_Tables_number 14
loop_
_symmetry_equiv_pos_as_xyz
'x,y,z'
'-x,-y,-z'
'-x,y+1/2,-z+1/2'
'x,-y+1/2,z+1/2'
loop_
_atom_site_label
_atom_site_fract_x
_atom_site_fract_y
_atom_site_fract_z
Ca1 0.143 0.021 0.237
Ca2 0.214 0.717 0.047
Ca3 0.336 0.173 0.045
Ag1 0.279 0.082 0.750
N1 0.000 0.000 0.000
```

Summary:
For the final energy, the calculation gives -0.1216 hartree per atom. The calculation puts the density of states at the Fermi level at 4.30 states/eV/f.u.

(5)
The following is a DFT calculation (PBE-GGA) of a geometry-optimized Ca6Ag3N structure.

The structure in CIF format:
```
data_Ca6Ag3N
_cell_length_a 6.959
_cell_length_b 7.840
_cell_length_c 11.789
_cell_angle_alpha 90.00
_cell_angle_beta 121.16
_cell_angle_gamma 90.00
_symmetry_space_group_name_H-M 'P 1 21/c 1'
_symmetry_Int_Tables_number 14
loop_
_symmetry_equiv_pos_as_xyz
'x,y,z'
'-x,-y,-z'
'-x,y+1/2,-z+1/2'
'x,-y+1/2,z+1/2'
loop_
_atom_site_label
_atom_site_fract_x
_atom_site_fract_y
_atom_site_fract_z
Ca1 0.097 0.036 0.228
Ca2 0.202 0.718 0.058
Ca3 0.345 0.158 0.049
Ag1 0.305 0.099 0.752
Ag2 0.500 0.000 0.500
N1 0.000 0.000 0.000
```

Summary:
For the final energy, the calculation gives -0.1200 hartree per atom. The calculation puts the density of states at the Fermi level at 5.60 states/eV/f.u.

(6)
The following is a DFT calculation (PBE-GGA) of a geometry-optimized CaAg3N structure.

The structure in CIF format:
```
data_CaAg3N
_cell_length_a 4.580
_cell_length_b 4.580
_cell_length_c 4.580
_cell_angle_alpha 90.00
_cell_angle_beta 90.00
_cell_angle_gamma 90.00
_symmetry_space_group_name_H-M 'P m -3 m'
_symmetry_Int_Tables_number 221
_symmetry_space_group_name_Hall '-P 4 2 3'
loop_
_atom_site_label
_atom_site_fract_x
_atom_site_fract_y
_atom_site_fract_z
Ca1 0.000 0.000 0.000
Ag1 0.000 0.500 0.500
N1 0.500 0.500 0.500
```

Summary:
For the final energy, the calculation gives -0.1245 hartree per atom. Its energy above the lowest structure with this stoichiometry is 0.0 meV per atom. The calculation puts the density of states at the Fermi level at 1.83 states/eV/f.u.

(7)
The following is a DFT calculation (PBE-GGA) of a geometry-optimized NaCa2AgN structure.

The structure in CIF format:
```
data_NaCa2AgN
_cell_length_a 4.826
_cell_length_b 4.826
_cell_length_c 4.898
_cell_angle_alpha 90.00
_cell_angle_beta 90.00
_cell_angle_gamma 90.00
_symmetry_space_group_name_H-M 'P 4/m m m'
_symmetry_Int_Tables_number 123
_symmetry_space_group_name_Hall '-P 4 2'
loop_
_atom_site_label
_atom_site_fract_x
_atom_site_fract_y
_atom_site_fract_z
Na1 0.000 0.000 0.000
Ca1 0.000 0.500 0.500
Ag1 0.500 0.500 0.000
N1 0.000 0.000 0.500
```

Summary:
For the final energy, the calculation gives -0.1339 hartree per atom. The calculation puts the density of states at the Fermi level at 2.33 states/eV/f.u.

(8)
The following is a DFT calculation (PBE-GGA) of a geometry-optimized NaCaAg2N structure.

The structure in CIF format:
```
data_NaCaAg2N
_cell_length_a 5.564
_cell_length_b 5.564
_cell_length_c 8.139
_cell_angle_alpha 90.00
_cell_angle_beta 90.00
_cell_angle_gamma 90.00
_symmetry_space_group_name_H-M 'P 4/m m m'
_symmetry_Int_Tables_number 123
_symmetry_space_group_name_Hall '-P 4 2'
loop_
_atom_site_label
_atom_site_fract_x
_atom_site_fract_y
_atom_site_fract_z
Na1 0.000 0.000 0.000
Ca1 0.000 0.000 0.500
Ag1 0.000 0.500 0.500
N1 0.500 0.500 0.000
```

Summary:
For the final energy, the calculation gives -0.0658 hartree per atom. The calculation puts the density of states at the Fermi level at 2.27 states/eV/f.u.

(9)
The following is a DFT calculation (PBE-GGA) of a geometry-optimized CaAgN2O structure.

The structure in CIF format:
```
data_CaAgN2O
_cell_length_a 4.049
_cell_length_b 4.049
_cell_length_c 4.340
_cell_angle_alpha 90.00
_cell_angle_beta 90.00
_cell_angle_gamma 90.00
_symmetry_space_group_name_H-M 'P 4/m m m'
_symmetry_Int_Tables_number 123
_symmetry_space_group_name_Hall '-P 4 2'
loop_
_atom_site_label
_atom_site_fract_x
_atom_site_fract_y
_atom_site_fract_z
Ca1 0.000 0.000 0.000
Ag1 0.500 0.500 0.500
N1 0.000 0.500 0.500
O1 0.500 0.500 0.000
```

Summary:
For the final energy, the calculation gives -0.1698 hartree per atom. The calculation puts the density of states at the Fermi level at 1.12 states/eV/f.u.

(10)
The following is a DFT calculation (PBE-GGA) of a geometry-optimized CaAgN2O structure.

The structure in CIF format:
```
data_CaAgN2O
_cell_length_a 4.548
_cell_length_b 4.548
_cell_length_c 4.372
_cell_angle_alpha 90.00
_cell_angle_beta 90.00
_cell_angle_gamma 90.00
_symmetry_space_group_name_H-M 'P 4/m m m'
_symmetry_Int_Tables_number 123
_symmetry_space_group_name_Hall '-P 4 2'
loop_
_atom_site_label
_atom_site_fract_x
_atom_site_fract_y
_atom_site_fract_z
Ca1 0.000 0.000 0.000
Ag1 0.500 0.500 0.500
N1 0.000 0.500 0.000
O1 0.000 0.000 0.500
```

Summary:
For the final energy, the calculation gives -0.1410 hartree per atom. The calculation puts the density of states at the Fermi level at 5.06 states/eV/f.u.

(11)
The following is a DFT calculation (PBE-GGA) of a geometry-optimized Ca3Pa2AgN6 structure.

The structure in CIF format:
```
data_Ca3Pa2AgN6
_cell_length_a 15.328
_cell_length_b 3.526
_cell_length_c 6.899
_cell_angle_alpha 90.00
_cell_angle_beta 103.88
_cell_angle_gamma 90.00
_symmetry_space_group_name_H-M 'C 1 2/m 1'
_symmetry_Int_Tables_number 12
loop_
_symmetry_equiv_pos_as_xyz
'x,y,z'
'-x,-y,-z'
'-x,y,-z'
'x,-y,z'
'x+1/2,y+1/2,z'
'-x+1/2,-y+1/2,-z'
'-x+1/2,y+1/2,-z'
'x+1/2,-y+1/2,z'
loop_
_atom_site_label
_atom_site_fract_x
_atom_site_fract_y
_atom_site_fract_z
Ca1 0.000 0.000 0.000
Ca2 0.158 0.500 0.335
Pa1 0.162 0.500 0.817
Ag1 0.000 0.000 0.500
N1 0.010 0.500 0.758
N2 0.174 0.000 0.049
N3 0.179 0.000 0.620
```

Summary:
For the final energy, the calculation gives -0.2776 hartree per atom. The calculation puts the density of states at the Fermi level at 3.40 states/eV/f.u.

(12)
The following is a DFT calculation (PBE-GGA) of a geometry-optimized Ca3Pa3AgN8 structure.

The structure in CIF format:
```
data_Ca3Pa3AgN8
_cell_length_a 11.913
_cell_length_b 7.049
_cell_length_c 7.004
_cell_angle_alpha 90.00
_cell_angle_beta 125.48
_cell_angle_gamma 90.00
_symmetry_space_group_name_H-M 'C 1 2/m 1'
_symmetry_Int_Tables_number 12
loop_
_symmetry_equiv_pos_as_xyz
'x,y,z'
'-x,-y,-z'
'-x,y,-z'
'x,-y,z'
'x+1/2,y+1/2,z'
'-x+1/2,-y+1/2,-z'
'-x+1/2,y+1/2,-z'
'x+1/2,-y+1/2,z'
loop_
_atom_site_label
_atom_site_fract_x
_atom_site_fract_y
_atom_site_fract_z
Ca1 0.000 0.000 0.000
Ca2 0.250 0.250 0.500
Pa1 0.000 0.500 0.500
Pa2 0.250 0.250 0.000
Ag1 0.000 0.000 0.500
N1 0.023 0.270 0.755
N2 0.230 0.000 0.760
N3 0.241 0.500 0.756
```

Summary:
For the final energy, the calculation gives -0.2910 hartree per atom. The calculation puts the density of states at the Fermi level at 3.29 states/eV/f.u.

Q: Which energy relative to the elements, uncorrected values were calculated for the entries above? A: -0.3860, 1.2313, 0.8150, -0.4169, -0.3775, 0.3880, -0.3450, 1.6795, 0.6713, 1.4564, -1.0714, -0.9884, in eV per atom.